Record 1
A plane-wave DFT calculation with GGA-PBE was carried out for a relaxed TePt2Br crystal.

a = 3.2913 Å, b = 4.3153 Å, c = 5.9706 Å
α = 90.00°, β = 90.00°, γ = 90.00°
Space group Pmmm (No. 47)
Symmetry-distinct sites (fractional):
Te 0.0000 0.0000 0.0000 x1
Pt 0.5000 0.0000 0.5000 x1
Pt 0.5000 0.5000 0.0000 x1
Br 0.0000 0.5000 0.5000 x1

Values from the calculation:
total energy	-3.773	eV per atom
ΔE_f (raw)	43.5	kJ/mol of atoms
energy relative to the lowest polymorph listed for this composition	668	meV/atom
density of states at the Fermi level	2.2	states/eV/cell

Record 2
A plane-wave DFT calculation with GGA-PBE was carried out for a relaxed La2SbBr crystal.

a = 4.5029 Å, b = 4.5029 Å, c = 6.3450 Å
α = 90.00°, β = 90.00°, γ = 90.00°
Space group P4/mmm (No. 123)
Symmetry-distinct sites (fractional):
La 0.0000 0.0000 0.0000 x1
La 0.5000 0.5000 0.5000 x1
Sb 0.0000 0.0000 0.5000 x1
Br 0.5000 0.5000 0.0000 x1

Values from the calculation:
total energy	-5.214	eV per atom
ΔE_f (raw)	-125.5	kJ/mol of atoms
density of states at the Fermi level	2.8	states/eV/cell

Record 3
A plane-wave DFT calculation with GGA-PBE was carried out for a relaxed RbSi2F2 crystal.

a = 4.7792 Å, b = 4.7792 Å, c = 8.9003 Å
α = 90.00°, β = 90.00°, γ = 90.00°
Space group I4/mmm (No. 139)
Symmetry-distinct sites (fractional):
Rb 0.0000 0.0000 0.0000 x2
Si 0.0000 0.0000 0.3625 x4
F 0.0000 0.5000 0.2500 x4

Values from the calculation:
total energy	-3.621	eV per atom
ΔE_f (raw)	-49.2	kJ/mol of atoms
energy relative to the lowest polymorph listed for this composition	32	meV/atom
density of states at the Fermi level	11.5	states/eV/cell

Record 4
A plane-wave DFT calculation with GGA-PBE was carried out for a relaxed CaDyGaHg crystal.

a = 3.6119 Å, b = 3.6119 Å, c = 7.6633 Å
α = 90.00°, β = 90.00°, γ = 90.00°
Space group P4mm (No. 99)
Symmetry-distinct sites (fractional):
Ca 0.0000 0.0000 0.0000 x1
Dy 0.0000 0.0000 0.4786 x1
Ga 0.5000 0.5000 0.2506 x1
Hg 0.5000 0.5000 0.7346 x1

Values from the calculation:
total energy	-3.008	eV per atom
formation energy	-525	meV per atom
energy relative to the lowest polymorph listed for this composition	0	meV/atom
density of states at the Fermi level	2.1	states/eV/cell

Record 5
A plane-wave DFT calculation with GGA-PBE was carried out for a relaxed TlHg5 crystal.

a = 5.6111 Å, b = 3.7379 Å, c = 16.2721 Å
α = 90.00°, β = 90.00°, γ = 90.00°
Space group Amm2 (No. 38)
Symmetry-distinct sites (fractional):
Tl 0.0000 0.0000 0.0000 x2
Hg 0.0000 0.0000 0.3302 x2
Hg 0.0000 0.0000 0.6700 x2
Hg 0.5000 0.0000 0.1197 x2
Hg 0.5000 0.0000 0.4484 x2
Hg 0.5000 0.0000 0.7828 x2

Values from the calculation:
total energy	-0.669	eV per atom
formation energy	-23	meV per atom
energy relative to the lowest polymorph listed for this composition	2	meV/atom
density of states at the Fermi level	1.6	states/eV/cell

Record 6
A plane-wave DFT calculation with GGA-PBE was carried out for a relaxed Sc6Ir5Os crystal.

a = 4.5782 Å, b = 13.7345 Å, c = 6.3924 Å
α = 90.00°, β = 90.00°, γ = 90.00°
Space group Cmmm (No. 65)
Symmetry-distinct sites (fractional):
Sc 0.0000 0.0000 0.2479 x4
Sc 0.0000 0.3345 0.2487 x8
Ir 0.0000 0.1669 0.0000 x4
Ir 0.0000 0.1671 0.5000 x4
Ir 0.0000 0.5000 0.5000 x2
Os 0.0000 0.5000 0.0000 x2

Values from the calculation:
total energy	-8.729	eV per atom
formation energy	-935	meV per atom
density of states at the Fermi level	6.5	states/eV/cell

Record 7
A plane-wave DFT calculation with GGA-PBE was carried out for a relaxed CaV2Cl crystal.

a = 3.6195 Å, b = 3.6195 Å, c = 25.6315 Å
α = 90.00°, β = 90.00°, γ = 90.00°
Space group I-42d (No. 122)
Symmetry-distinct sites (fractional):
Ca 0.0000 0.0000 0.0000 x4
V 0.2327 0.7500 0.1250 x8
Cl 0.0000 0.0000 0.5000 x4

Values from the calculation:
total energy	-5.307	eV per atom
ΔE_f (raw)	20.7	kJ/mol of atoms
energy relative to the lowest polymorph listed for this composition	0	meV/atom
density of states at the Fermi level	15.1	states/eV/cell

Record 8
A plane-wave DFT calculation with GGA-PBE was carried out for a relaxed Rb2ThCdTe4 crystal.

a = 8.0788 Å, b = 4.5577 Å, c = 9.0087 Å
α = 90.00°, β = 108.69°, γ = 90.00°
Space group P2/m (No. 10)
Symmetry-distinct sites (fractional):
Rb 0.0000 0.0000 0.0000 x1
Rb 0.5000 0.5000 0.0000 x1
Th 0.0000 0.5000 0.5000 x1
Cd 0.5000 0.0000 0.5000 x1
Te 0.2224 0.0000 0.7114 x2
Te 0.2750 0.5000 0.3138 x2

Values from the calculation:
total energy	-3.829	eV per atom
ΔE_f (raw)	-94.0	kJ/mol of atoms

Record 9
A plane-wave DFT calculation with GGA-PBE was carried out for a relaxed AcTbDySn crystal.

a = 7.8587 Å, b = 7.8587 Å, c = 7.8587 Å
α = 90.00°, β = 90.00°, γ = 90.00°
Space group F-43m (No. 216)
Symmetry-distinct sites (fractional):
Ac 0.0000 0.0000 0.0000 x4
Tb 0.2500 0.2500 0.7500 x4
Dy 0.2500 0.2500 0.2500 x4
Sn 0.0000 0.0000 0.5000 x4

Values from the calculation:
total energy	-4.503	eV per atom
formation energy	-167	meV per atom
density of states at the Fermi level	24.9	states/eV/cell

Record 10
A plane-wave DFT calculation with GGA-PBE was carried out for a relaxed Mn2AlV crystal.

a = 6.5743 Å, b = 6.5743 Å, c = 5.2311 Å
α = 90.00°, β = 90.00°, γ = 90.00°
Space group I-42d (No. 122)
Symmetry-distinct sites (fractional):
Mn 0.2236 0.2500 0.1250 x8
Al 0.0000 0.0000 0.5000 x4
V 0.0000 0.0000 0.0000 x4

Values from the calculation:
total energy	-7.425	eV per atom
formation energy	375	meV per atom
density of states at the Fermi level	14.1	states/eV/cell

Record 11
A plane-wave DFT calculation with GGA-PBE was carried out for a relaxed CsCuBiCl6 crystal.

a = 6.7767 Å, b = 6.7840 Å, c = 7.6797 Å
α = 93.77°, β = 93.83°, γ = 114.26°
Space group P1 (No. 1)
Symmetry-distinct sites (fractional):
Cs 0.0000 0.0000 0.0000 x1
Cu 0.7028 0.2979 0.4997 x1
Bi 0.3573 0.6433 0.5001 x1
Cl 0.0228 0.3333 0.6547 x1
Cl 0.0474 0.6012 0.2582 x1
Cl 0.3995 0.9519 0.7427 x1
Cl 0.4524 0.3282 0.3010 x1
Cl 0.6664 0.9780 0.3450 x1
Cl 0.6727 0.5477 0.6989 x1

Values from the calculation:
total energy	-3.280	eV per atom
ΔE_f (raw)	-103.0	kJ/mol of atoms

Record 12
A plane-wave DFT calculation with GGA-PBE was carried out for a relaxed MgMo2Br crystal.

a = 10.8048 Å, b = 3.2996 Å, c = 4.6893 Å
α = 90.00°, β = 96.96°, γ = 90.00°
Space group C2/m (No. 12)
Symmetry-distinct sites (fractional):
Mg 0.0000 0.0000 0.0000 x2
Mo 0.2270 0.5000 0.8191 x4
Br 0.0000 0.5000 0.5000 x2

Values from the calculation:
total energy	-5.731	eV per atom
ΔE_f (raw)	48.4	kJ/mol of atoms
energy relative to the lowest polymorph listed for this composition	374	meV/atom
density of states at the Fermi level	5.8	states/eV/cell

Record 13
A plane-wave DFT calculation with GGA-PBE was carried out for a relaxed MnBi crystal.

a = 10.4929 Å, b = 10.4929 Å, c = 3.4975 Å
α = 90.00°, β = 90.00°, γ = 90.00°
Space group I4/m (No. 87)
Symmetry-distinct sites (fractional):
Mn 0.0762 0.6087 0.0000 x8
Bi 0.1207 0.2030 0.0000 x8

Values from the calculation:
total energy	-6.176	eV per atom
formation energy	349	meV per atom
density of states at the Fermi level	12.3	states/eV/cell

Record 14
A plane-wave DFT calculation with GGA-PBE was carried out for a relaxed SnN2Cl crystal.

a = 5.9369 Å, b = 5.9369 Å, c = 5.9369 Å
α = 90.00°, β = 90.00°, γ = 90.00°
Space group Fm-3m (No. 225)
Symmetry-distinct sites (fractional):
Sn 0.0000 0.0000 0.0000 x4
N 0.2500 0.2500 0.2500 x8
Cl 0.0000 0.0000 0.5000 x4

Values from the calculation:
total energy	-3.707	eV per atom
ΔE_f (raw)	185.1	kJ/mol of atoms
energy relative to the lowest polymorph listed for this composition	1164	meV/atom
density of states at the Fermi level	12.6	states/eV/cell

Record 15
A plane-wave DFT calculation with GGA-PBE was carried out for a relaxed LiSn2AuS4 crystal.

a = 7.8217 Å, b = 9.4641 Å, c = 10.5401 Å
α = 90.00°, β = 90.00°, γ = 90.00°
Space group Fmm2 (No. 42)
Symmetry-distinct sites (fractional):
Li 0.0000 0.0000 0.0000 x4
Sn 0.2500 0.2500 0.2661 x8
Au 0.0000 0.0000 0.5226 x4
S 0.0000 0.2483 0.6060 x8
S 0.2475 0.0000 0.8556 x8

Values from the calculation:
total energy	-4.121	eV per atom
ΔE_f (raw)	-39.3	kJ/mol of atoms
density of states at the Fermi level	2.8	states/eV/cell

Record 16
A plane-wave DFT calculation with GGA-PBE was carried out for a relaxed BaNa2SbCl8 crystal.

a = 6.4247 Å, b = 6.6958 Å, c = 8.8940 Å
α = 90.15°, β = 90.08°, γ = 91.83°
Space group P-1 (No. 2)
Symmetry-distinct sites (fractional):
Ba 0.0000 0.0000 0.0000 x1
Na 0.4990 0.4985 0.7604 x2
Sb 0.0000 0.0000 0.5000 x1
Cl 0.1664 0.7901 0.2939 x2
Cl 0.1674 0.7909 0.7056 x2
Cl 0.3083 0.2475 0.5001 x2
Cl 0.3745 0.2706 0.0005 x2

Values from the calculation:
total energy	-3.424	eV per atom
ΔE_f (raw)	-141.8	kJ/mol of atoms
density of states at the Fermi level	6.2	states/eV/cell

Record 17
A plane-wave DFT calculation with GGA-PBE was carried out for a relaxed YCr2Cl crystal.

a = 7.0480 Å, b = 7.0480 Å, c = 7.0480 Å
α = 90.00°, β = 90.00°, γ = 90.00°
Space group F-43m (No. 216)
Symmetry-distinct sites (fractional):
Y 0.0000 0.0000 0.0000 x4
Cr 0.0000 0.0000 0.5000 x4
Cr 0.2500 0.2500 0.7500 x4
Cl 0.2500 0.2500 0.2500 x4

Values from the calculation:
total energy	-6.331	eV per atom
ΔE_f (raw)	53.9	kJ/mol of atoms
energy relative to the lowest polymorph listed for this composition	695	meV/atom
density of states at the Fermi level	11.0	states/eV/cell

Record 18
A plane-wave DFT calculation with GGA-PBE was carried out for a relaxed Li4CaCd6 crystal.

a = 6.9862 Å, b = 6.9862 Å, c = 10.1618 Å
α = 90.00°, β = 90.00°, γ = 90.00°
Space group I-42m (No. 121)
Symmetry-distinct sites (fractional):
Li 0.1557 0.1557 0.4168 x8
Ca 0.0000 0.0000 0.0000 x2
Cd 0.0000 0.5000 0.0000 x4
Cd 0.2078 0.2078 0.6932 x8

Values from the calculation:
total energy	-1.473	eV per atom
formation energy	-96	meV per atom
density of states at the Fermi level	10.5	states/eV/cell

Record 19
A plane-wave DFT calculation with GGA-PBE was carried out for a relaxed LiSb2 crystal.

a = 11.4032 Å, b = 4.1226 Å, c = 6.9440 Å
α = 90.00°, β = 110.54°, γ = 90.00°
Space group Cm (No. 8)
Symmetry-distinct sites (fractional):
Li 0.0000 0.0000 0.0000 x2
Li 0.2012 0.5000 0.4046 x2
Sb 0.0989 0.0000 0.6393 x2
Sb 0.2336 0.5000 0.0110 x2
Sb 0.3658 0.0000 0.6844 x2
Sb 0.4147 0.0000 0.2954 x2

Values from the calculation:
total energy	-3.529	eV per atom
ΔE_f (raw)	-13.8	kJ/mol of atoms
energy relative to the lowest polymorph listed for this composition	99	meV/atom
density of states at the Fermi level	4.5	states/eV/cell

Record 20
A plane-wave DFT calculation with GGA-PBE was carried out for a relaxed Ca2OsO crystal.

a = 6.6428 Å, b = 6.6428 Å, c = 8.0145 Å
α = 90.00°, β = 90.00°, γ = 90.00°
Space group I-42d (No. 122)
Symmetry-distinct sites (fractional):
Ca 0.1588 0.2500 0.1250 x8
Os 0.0000 0.0000 0.5000 x4
O 0.0000 0.0000 0.0000 x4

Values from the calculation:
total energy	-5.486	eV per atom
ΔE_f (raw)	-42.2	kJ/mol of atoms
density of states at the Fermi level	0.6	states/eV/cell

Record 21
A plane-wave DFT calculation with GGA-PBE was carried out for a relaxed Ac2MgZnPd6 crystal.

a = 10.2166 Å, b = 5.8981 Å, c = 8.5251 Å
α = 90.00°, β = 113.46°, γ = 90.00°
Space group C2/m (No. 12)
Symmetry-distinct sites (fractional):
Ac 0.2166 0.0000 0.1509 x4
Mg 0.0000 0.0000 0.5000 x2
Zn 0.0000 0.5000 0.0000 x2
Pd 0.0084 0.2434 0.7673 x8
Pd 0.2481 0.5000 0.2335 x4

Values from the calculation:
total energy	-4.800	eV per atom
formation energy	-576	meV per atom
density of states at the Fermi level	7.0	states/eV/cell

Record 22
A plane-wave DFT calculation with GGA-PBE was carried out for a relaxed CsLaGe3 crystal.

a = 5.8503 Å, b = 5.8503 Å, c = 5.8503 Å
α = 90.00°, β = 90.00°, γ = 90.00°
Space group Pm-3m (No. 221)
Symmetry-distinct sites (fractional):
Cs 0.0000 0.0000 0.0000 x1
La 0.5000 0.5000 0.5000 x1
Ge 0.0000 0.5000 0.5000 x3

Values from the calculation:
total energy	-3.489	eV per atom
formation energy	438	meV per atom
energy relative to the lowest polymorph listed for this composition	0	meV/atom
density of states at the Fermi level	3.1	states/eV/cell

Record 23
A plane-wave DFT calculation with GGA-PBE was carried out for a relaxed Sr6SI3N2 crystal.

a = 7.1980 Å, b = 12.4620 Å, c = 8.1573 Å
α = 90.00°, β = 107.12°, γ = 90.00°
Space group C2/m (No. 12)
Symmetry-distinct sites (fractional):
Sr 0.1971 0.0000 0.1779 x4
Sr 0.2415 0.3186 0.1803 x8
S 0.0000 0.5000 0.0000 x2
I 0.0000 0.0000 0.5000 x2
I 0.0000 0.3392 0.5000 x4
N 0.0000 0.1671 0.0000 x4

Values from the calculation:
total energy	-4.217	eV per atom
ΔE_f (raw)	-121.3	kJ/mol of atoms
density of states at the Fermi level	8.5	states/eV/cell

Record 24
A plane-wave DFT calculation with GGA-PBE was carried out for a relaxed CaTaN2F crystal.

a = 4.1043 Å, b = 4.1043 Å, c = 4.0448 Å
α = 90.00°, β = 90.00°, γ = 90.00°
Space group P4/mmm (No. 123)
Symmetry-distinct sites (fractional):
Ca 0.0000 0.0000 0.0000 x1
Ta 0.5000 0.5000 0.5000 x1
N 0.0000 0.5000 0.5000 x2
F 0.5000 0.5000 0.0000 x1

Values from the calculation:
total energy	-7.937	eV per atom
ΔE_f (raw)	-141.0	kJ/mol of atoms
energy relative to the lowest polymorph listed for this composition	0	meV/atom
density of states at the Fermi level	1.3	states/eV/cell

Record 25
A plane-wave DFT calculation with GGA-PBE was carried out for a relaxed RbSn6Au12 crystal.

a = 12.5778 Å, b = 12.5778 Å, c = 9.7276 Å
α = 90.00°, β = 90.00°, γ = 120.00°
Space group R-3m (No. 166, hexagonal axes)
Symmetry-distinct sites (fractional):
Rb 0.0000 0.0000 0.0000 x3
Sn 0.0496 0.5248 0.2421 x18
Au 0.0000 0.3895 0.5000 x18
Au 0.0786 0.1573 0.3059 x18

Values from the calculation:
total energy	-3.465	eV per atom
formation energy	-80	meV per atom
energy relative to the lowest polymorph listed for this composition	19	meV/atom
density of states at the Fermi level	15.4	states/eV/cell